[1]
Below is crystalline Te2AuCl at its relaxed geometry, with properties calculated at the PBE level.

Unit cell a=5.1494 b=5.1494 c=5.1494 alpha=119.98 beta=119.98 gamma=90.04
Positions (direct):
Au (0.5000, 0.5000, 0.0000)
Cl (0.7500, 0.2500, 0.5000)
Te (0.0000, 0.0000, 0.0000)
Te (0.2500, 0.7500, 0.5000)

Calculated values
**Size of the total moment**: 0.00 μB per atom
**Uncorrected formation energy**: 0.261 eV/atom

=====

[2]
Below is crystalline MoW5Se12 at its relaxed geometry, with properties calculated at the PBE level.

Unit cell a=5.7553 b=5.9958 c=13.7857 alpha=89.95 beta=89.89 gamma=61.32
Positions (direct):
Se (0.3392, 0.6488, 0.8887)
W (0.1298, 0.7404, 0.5000)
W (0.8702, 0.2596, 0.5000)
Se (0.6608, 0.3512, 0.1113)
Se (0.8367, 0.6504, 0.6115)
Se (0.6743, 0.0000, 0.8669)
Se (0.9880, 0.3512, 0.8887)
Se (0.3257, 0.0000, 0.1331)
Se (0.5129, 0.6504, 0.3885)
Se (0.1730, 0.0000, 0.6334)
Se (0.8270, 0.0000, 0.3666)
W (0.6302, 0.7397, 0.0000)
Se (0.0120, 0.6488, 0.1113)
W (0.3699, 0.2603, 0.0000)
W (0.5000, 0.0000, 0.5000)
Se (0.4871, 0.3496, 0.6115)
Se (0.1633, 0.3496, 0.3885)
Mo (0.0000, 0.0000, 0.0000)

Calculated values
**Size of the total moment**: 0.02 μB per atom
**Uncorrected formation energy**: -0.407 eV/atom

=====

[3]
Below is crystalline Cs6Rb4Hg at its relaxed geometry, with properties calculated at the PBE level.

Unit cell a=12.5268 b=12.5268 c=13.2575 alpha=90.00 beta=90.00 gamma=90.00
Positions (direct):
Cs (0.3611, 0.7958, 0.0000)
Cs (0.6389, 0.2042, 0.0000)
Rb (0.6327, 0.8673, 0.2500)
Hg (0.5000, 0.5000, 0.0000)
Cs (0.8611, 0.7042, 0.5000)
Cs (0.2958, 0.8611, 0.5000)
Hg (0.0000, 0.0000, 0.5000)
Rb (0.1327, 0.6327, 0.7500)
Cs (0.7958, 0.6389, 0.0000)
Cs (0.5000, 0.5000, 0.7008)
Rb (0.1327, 0.6327, 0.2500)
Cs (0.7042, 0.1389, 0.5000)
Rb (0.3673, 0.1327, 0.7500)
Rb (0.8673, 0.3673, 0.2500)
Cs (0.0000, 0.0000, 0.2008)
Cs (0.2042, 0.3611, 0.0000)
Rb (0.6327, 0.8673, 0.7500)
Cs (0.1389, 0.2958, 0.5000)
Rb (0.3673, 0.1327, 0.2500)
Cs (0.0000, 0.0000, 0.7992)
Rb (0.8673, 0.3673, 0.7500)
Cs (0.5000, 0.5000, 0.2992)

Calculated values
**Size of the total moment**: 0.00 μB per atom

=====

[4]
Below is crystalline NpS4 at its relaxed geometry, with properties calculated at the PBE level.

Unit cell a=5.0917 b=5.0917 c=5.0917 alpha=90.00 beta=90.00 gamma=90.00
Positions (direct):
S (0.0000, 0.0000, 0.0000)
S (0.0000, 0.5000, 0.5000)
S (0.5000, 0.0000, 0.5000)
S (0.5000, 0.5000, 0.0000)
Np (0.5000, 0.5000, 0.5000)

Calculated values
**Size of the total moment**: 0.20 μB per atom
**Uncorrected formation energy**: -0.005 eV/atom

=====

[5]
Below is crystalline CeScIrPd at its relaxed geometry, with properties calculated at the PBE level.

Unit cell a=4.8344 b=4.8344 c=4.8344 alpha=60.00 beta=60.00 gamma=60.00
Positions (direct):
Ce (0.2500, 0.2500, 0.2500)
Sc (0.7500, 0.7500, 0.7500)
Pd (0.5000, 0.5000, 0.5000)
Ir (0.0000, 0.0000, 0.0000)

Calculated values
**Size of the total moment**: 0.17 μB per atom

=====

[6]
Below is crystalline BaTiNiAs2 at its relaxed geometry, with properties calculated at the PBE level.

Unit cell a=4.0613 b=4.0613 c=7.3028 alpha=106.14 beta=106.14 gamma=90.00
Positions (direct):
As (0.6432, 0.6432, 0.2863)
As (0.3568, 0.3568, 0.7137)
Ni (0.7500, 0.2500, 0.5000)
Ba (0.0000, 0.0000, 0.0000)
Ti (0.2500, 0.7500, 0.5000)

Calculated values
**Size of the total moment**: 0.00 μB per atom

=====

no.,raw total energy (eV per atom)
1,-2.59
2,-6.93
3,-0.87
4,-5.90
5,-7.32
6,-5.88